No. 1
Y2AsW | Alexandria via LeMat-Bulk | GGA-PBE | optimized geometry; total moment = 0.0 μB per cell; mass density = 8.26 g cm⁻³; SG = No. 65; energy = -7.639 eV/atom
1.0
5.3067 -0.0452 0.0000
-1.0831 5.1951 0.0000
0.0000 0.0000 3.1888
Y W As
2 1 1
direct
0.0000 0.0000 0.0000
0.5000 0.5000 0.0000
0.0000 0.5000 0.5000
0.5000 0.0000 0.5000

=====

No. 2
TbThSc2 | Alexandria via LeMat-Bulk | GGA-PBE | optimized geometry; total moment = 0.0 μB per cell; mass density = 7.13 g cm⁻³; SG = No. 65; energy above the lowest structure with this stoichiometry = 0.000 eV/atom; energy = -6.159 eV/atom
1.0
3.5025 0.0000 0.0000
0.0000 5.7419 -0.3861
0.0000 -1.1346 5.6419
Tb Sc Th
1 2 1
direct
0.5000 0.0000 0.0000
0.0000 0.0000 0.5000
0.0000 0.5000 0.0000
0.5000 0.5000 0.5000

=====

No. 3
Eu4HPd2 | Alexandria via LeMat-Bulk | GGA-PBE | optimized geometry; total moment = 0.0 μB per cell; mass density = 7.62 g cm⁻³; SG = No. 139; energy = -8.315 eV/atom
1.0
-0.6130 4.6673 0.1648
-3.7949 -0.4010 -2.7613
-6.8657 1.2903 5.2310
Eu Pd H
4 2 1
direct
0.8156 0.8156 0.3689
0.0000 0.5000 0.0000
0.1844 0.1844 0.6311
0.5000 0.0000 0.0000
0.3708 0.3708 0.2583
0.6292 0.6292 0.7417
0.0000 0.0000 0.0000

=====

No. 4
SrP2Se | Alexandria via LeMat-Bulk | GGA-PBE | optimized geometry; total moment = 0.0 μB per cell; mass density = 3.68 g cm⁻³; SG = No. 6; E_form (uncorrected) = -0.660 eV per atom; energy = -4.657 eV/atom
1.0
3.6912 0.0000 0.0000
0.0000 4.8330 0.0107
0.0000 2.7355 5.7793
Sr P Se
1 2 1
direct
0.5000 0.8244 0.7105
0.0000 0.0662 0.0182
0.5000 0.2221 0.1587
0.0000 0.3874 0.6125

=====

No. 5
POsPbCl2 | Alexandria via LeMat-Bulk | GGA-PBE | optimized geometry; total moment = 0.0 μB per cell; mass density = 6.91 g cm⁻³; SG = No. 123; E_form (uncorrected) = 0.221 eV per atom; energy above the lowest structure with this stoichiometry = 0.000 eV/atom; energy = -4.587 eV/atom
1.0
5.1546 0.0000 0.0000
0.0000 5.1546 0.0000
0.0000 0.0000 4.5139
P Os Cl Pb
1 1 2 1
direct
0.0000 0.0000 0.5000
0.0000 0.0000 0.0000
0.0000 0.5000 0.0000
0.5000 0.0000 0.0000
0.5000 0.5000 0.5000

=====

No. 6
Cs2RbMgSn | Alexandria via LeMat-Bulk | GGA-PBE | optimized geometry; total moment = 0.0 μB per cell; mass density = 2.43 g cm⁻³; SG = No. 123; energy = -1.588 eV/atom
1.0
-5.8554 5.2687 0.2306
-2.5130 -3.0904 6.7995
3.1974 3.4334 2.7422
Cs Mg Rb Sn
2 1 1 1
direct
0.5000 0.0000 0.0000
0.0000 0.5000 0.0000
0.0000 0.0000 0.5000
0.5000 0.5000 0.5000
0.0000 0.0000 0.0000

=====

No. 7
Zn4HgBi | Alexandria via LeMat-Bulk | GGA-PBE | optimized geometry; total moment = 0.0 μB per cell; mass density = 9.35 g cm⁻³; SG = No. 216; energy = -1.406 eV/atom
1.0
5.5247 0.0000 0.0000
2.7623 4.7845 0.0000
2.7623 1.5948 4.5109
Zn Hg Bi
4 1 1
direct
0.6255 0.6255 0.6255
0.1234 0.6255 0.6255
0.6255 0.1234 0.6255
0.6255 0.6255 0.1234
0.0000 0.0000 0.0000
0.2500 0.2500 0.2500

=====

No. 8
NdSmCo2 | Alexandria via LeMat-Bulk | GGA-PBE | optimized geometry; total moment = 0.8 μB per cell; mass density = 8.39 g cm⁻³; SG = No. 225; energy above the lowest structure with this stoichiometry = 0.101 eV/atom; energy = -5.904 eV/atom
1.0
4.8696 0.0000 0.0000
2.4348 4.2172 0.0000
2.4348 1.4057 3.9760
Sm Co Nd
1 2 1
direct
0.0000 0.0000 0.0000
0.7500 0.7500 0.7500
0.2500 0.2500 0.2500
0.5000 0.5000 0.5000

=====

No. 9
HfSiAs2Br | Alexandria via LeMat-Bulk | GGA-PBE | optimized geometry; total moment = 0.0 μB per cell; mass density = 6.58 g cm⁻³; SG = No. 123; E_form (uncorrected) = 0.498 eV per atom; energy above the lowest structure with this stoichiometry = 0.142 eV/atom; energy = -4.772 eV/atom
1.0
-0.4350 4.2928 2.0946
-4.6629 -0.8378 0.7485
1.0332 -1.9636 4.2389
Br As Si Hf
1 2 1 1
direct
0.0000 0.0000 0.5000
0.0000 0.5000 0.0000
0.5000 0.0000 0.0000
0.0000 0.0000 0.0000
0.5000 0.5000 0.5000

=====

No. 10
Pr2Zn15Ga2 | Alexandria via LeMat-Bulk | GGA-PBE | optimized geometry; total moment = 0.0 μB per cell; mass density = 7.29 g cm⁻³; SG = No. 166; energy = -2.079 eV/atom
1.0
6.8739 -0.0702 -0.0626
0.8222 6.8249 -0.0626
0.8222 0.7216 6.7870
Zn Pr Ga
15 2 2
direct
0.0000 0.6980 0.3020
0.5000 0.0000 0.0000
0.6980 0.0000 0.3020
0.1662 0.6499 0.6499
0.0000 0.3020 0.6980
0.3501 0.8338 0.3501
0.6499 0.1662 0.6499
0.3501 0.3501 0.8338
0.8338 0.3501 0.3501
0.3020 0.0000 0.6980
0.6499 0.6499 0.1662
0.0000 0.0000 0.5000
0.3020 0.6980 0.0000
0.6980 0.3020 0.0000
0.0000 0.5000 0.0000
0.6659 0.6659 0.6659
0.3341 0.3341 0.3341
0.0982 0.0982 0.0982
0.9018 0.9018 0.9018

=====

No. 11
Hf2Nb2O | Alexandria via LeMat-Bulk | GGA-PBE | optimized geometry; total moment = 0.0 μB per cell; mass density = 9.39 g cm⁻³; SG = No. 139; E_form (uncorrected) = 1.015 eV per atom; energy above the lowest structure with this stoichiometry = 1.362 eV/atom; energy = -7.986 eV/atom
1.0
-1.1259 -0.2322 -3.4622
2.6800 -2.3704 -0.7125
-3.7078 -6.9236 -0.2519
Hf Nb O
2 2 1
direct
0.2500 0.7500 0.5000
0.7500 0.2500 0.5000
0.4200 0.4200 0.1601
0.5800 0.5800 0.8399
0.0000 0.0000 0.0000

=====

No. 12
CsCdSnAs | Alexandria via LeMat-Bulk | GGA-PBE | optimized geometry; total moment = 0.0 μB per cell; mass density = 5.08 g cm⁻³; SG = No. 129; energy = -2.827 eV/atom
1.0
4.3921 0.0000 0.0000
0.0000 4.3921 0.0000
0.0000 0.0000 14.8798
Cd As Sn Cs
2 2 2 2
direct
0.7500 0.2500 0.0000
0.2500 0.7500 0.0000
0.7500 0.7500 0.8851
0.2500 0.2500 0.1149
0.7500 0.2500 0.5000
0.2500 0.7500 0.5000
0.2500 0.2500 0.7544
0.7500 0.7500 0.2456

=====

Copy entry 3 word for word.
Eu4HPd2 | Alexandria via LeMat-Bulk | GGA-PBE | optimized geometry; total moment = 0.0 μB per cell; mass density = 7.62 g cm⁻³; SG = No. 139; energy = -8.315 eV/atom
1.0
-0.6130 4.6673 0.1648
-3.7949 -0.4010 -2.7613
-6.8657 1.2903 5.2310
Eu Pd H
4 2 1
direct
0.8156 0.8156 0.3689
0.0000 0.5000 0.0000
0.1844 0.1844 0.6311
0.5000 0.0000 0.0000
0.3708 0.3708 0.2583
0.6292 0.6292 0.7417
0.0000 0.0000 0.0000

=====

- Which of these has the highest energy?
  Zn4HgBi

=====

- The lowest mass density belongs to which entry?
  Cs2RbMgSn

=====

Repeat the second record exactly.
TbThSc2 | Alexandria via LeMat-Bulk | GGA-PBE | optimized geometry; total moment = 0.0 μB per cell; mass density = 7.13 g cm⁻³; SG = No. 65; energy above the lowest structure with this stoichiometry = 0.000 eV/atom; energy = -6.159 eV/atom
1.0
3.5025 0.0000 0.0000
0.0000 5.7419 -0.3861
0.0000 -1.1346 5.6419
Tb Sc Th
1 2 1
direct
0.5000 0.0000 0.0000
0.0000 0.0000 0.5000
0.0000 0.5000 0.0000
0.5000 0.5000 0.5000